#a
Here is crystalline Pr3Nd3Tm at its relaxed geometry from the Alexandria database. Energies are from PBE.

Values from the calculation:
V ... 252.6 Å³/f.u.
Crystal system ... monoclinic
Spin magnetization ... 0.0 Bohr magnetons per cell
DOS(E_F) ... 45.862 states/eV/cell

a b c (Å): 11.826 11.622 7.352
angles (deg): 90.00 90.00 90.00
Space group C2/m (No. 12)
Unique sites:
Pr: 0.000 0.198 0.000 (multiplicity 4)
Pr: 0.000 0.215 0.500 (multiplicity 4)
Pr: 0.219 0.000 0.499 (multiplicity 4)
Nd: 0.000 0.500 0.247 (multiplicity 4)
Nd: 0.250 0.250 0.247 (multiplicity 8)
Tm: 0.231 0.000 0.001 (multiplicity 4)

---

#b
Here is crystalline Pr3Nd3Tm at its relaxed geometry from the Alexandria database. Energies are from PBE.

Values from the calculation:
V ... 246.7 Å³/f.u.
Crystal system ... monoclinic
Spin magnetization ... 0.0 Bohr magnetons per cell
DOS(E_F) ... 23.080 states/eV/cell

a b c (Å): 9.817 5.906 9.823
angles (deg): 90.00 119.95 90.00
Space group P2_1/m (No. 11)
Unique sites:
Pr: 0.048 0.250 0.242 (multiplicity 2)
Pr: 0.193 0.250 0.952 (multiplicity 2)
Pr: 0.242 0.750 0.194 (multiplicity 2)
Nd: 0.096 0.750 0.478 (multiplicity 2)
Nd: 0.383 0.750 0.904 (multiplicity 2)
Nd: 0.478 0.250 0.383 (multiplicity 2)
Tm: 0.333 0.250 0.667 (multiplicity 2)

---

The most stable arrangement is #b, and the next structure is 125 meV/atom less stable.

---

#a
Here is crystalline Pr4NdTm2 at its relaxed geometry from the Alexandria database. Energies are from PBE.

Values from the calculation:
V ... 241.9 Å³/f.u.
Crystal system ... monoclinic
Spin magnetization ... 0.0 Bohr magnetons per cell
DOS(E_F) ... 42.593 states/eV/cell

a b c (Å): 6.510 24.521 6.878
angles (deg): 90.00 118.22 90.00
Space group Cc (No. 9)
Unique sites:
Pr: 0.000 0.019 0.000 (multiplicity 4)
Pr: 0.009 0.447 0.969 (multiplicity 4)
Pr: 0.369 0.231 0.739 (multiplicity 4)
Pr: 0.411 0.196 0.271 (multiplicity 4)
Nd: 0.470 0.375 0.870 (multiplicity 4)
Tm: 0.385 0.342 0.319 (multiplicity 4)
Tm: 0.436 0.092 0.921 (multiplicity 4)

---

#b
Here is crystalline Pr4NdTm2 at its relaxed geometry from the Alexandria database. Energies are from PBE.

Values from the calculation:
V ... 244.6 Å³/f.u.
Crystal system ... orthorhombic
Spin magnetization ... 0.0 Bohr magnetons per cell
DOS(E_F) ... 46.012 states/eV/cell

a b c (Å): 6.938 11.579 12.178
angles (deg): 90.00 90.00 90.00
Space group Imma (No. 74)
Unique sites:
Pr: 0.000 0.000 0.151 (multiplicity 8)
Pr: 0.222 0.250 0.010 (multiplicity 8)
Nd: 0.250 0.250 0.750 (multiplicity 4)
Tm: 0.000 0.000 0.500 (multiplicity 4)
Tm: 0.000 0.250 0.281 (multiplicity 4)

---

The most stable arrangement is #a, and the next structure is 190 meV/atom less stable.

---

#a
Here is crystalline Pr5Nd2Tm at its relaxed geometry from the Alexandria database. Energies are from PBE.

Values from the calculation:
V ... 280.5 Å³/f.u.
Crystal system ... triclinic
Spin magnetization ... 0.0 Bohr magnetons per cell
DOS(E_F) ... 23.865 states/eV/cell

a b c (Å): 6.744 6.749 12.947
angles (deg): 77.95 77.51 83.30
Space group P1 (No. 1)
Unique sites:
Pr: 0.000 0.000 0.000 (multiplicity 1)
Pr: 0.007 0.703 0.499 (multiplicity 1)
Pr: 0.054 0.751 0.762 (multiplicity 1)
Pr: 0.211 0.489 0.997 (multiplicity 1)
Pr: 0.261 0.545 0.266 (multiplicity 1)
Pr: 0.380 0.066 0.434 (multiplicity 1)
Pr: 0.560 0.877 0.929 (multiplicity 1)
Pr: 0.691 0.376 0.828 (multiplicity 1)
Pr: 0.750 0.751 0.267 (multiplicity 1)
Pr: 0.878 0.193 0.332 (multiplicity 1)
Nd: 0.345 0.045 0.165 (multiplicity 1)
Nd: 0.552 0.841 0.663 (multiplicity 1)
Nd: 0.707 0.416 0.096 (multiplicity 1)
Nd: 0.914 0.207 0.598 (multiplicity 1)
Tm: 0.262 0.257 0.751 (multiplicity 1)
Tm: 0.497 0.491 0.513 (multiplicity 1)

---

#b
Here is crystalline Pr5Nd2Tm at its relaxed geometry from the Alexandria database. Energies are from PBE.

Values from the calculation:
V ... 281.1 Å³/f.u.
Crystal system ... orthorhombic
Spin magnetization ... 0.0 Bohr magnetons per cell
DOS(E_F) ... 23.597 states/eV/cell

a b c (Å): 7.339 14.736 5.198
angles (deg): 90.00 90.00 90.00
Space group Pbam (No. 55)
Unique sites:
Pr: 0.000 0.000 0.000 (multiplicity 2)
Pr: 0.000 0.252 0.000 (multiplicity 4)
Pr: 0.249 0.376 0.500 (multiplicity 4)
Nd: 0.249 0.623 0.500 (multiplicity 4)
Tm: 0.000 0.500 0.000 (multiplicity 2)

---

The most stable arrangement is #b, and the next structure is 61 meV/atom less stable.

---

#a
Here is crystalline Pr8Nd2Tm3 at its relaxed geometry from the Alexandria database. Energies are from PBE.

Values from the calculation:
V ... 455.5 Å³/f.u.
Crystal system ... monoclinic
Spin magnetization ... 0.0 Bohr magnetons per cell
DOS(E_F) ... 39.770 states/eV/cell

a b c (Å): 13.583 11.857 6.181
angles (deg): 90.00 113.76 90.00
Space group C2/m (No. 12)
Unique sites:
Pr: 0.086 0.000 0.261 (multiplicity 4)
Pr: 0.137 0.500 0.611 (multiplicity 4)
Pr: 0.160 0.262 0.154 (multiplicity 8)
Nd: 0.188 0.000 0.837 (multiplicity 4)
Tm: 0.000 0.235 0.500 (multiplicity 4)
Tm: 0.000 0.500 0.000 (multiplicity 2)

---

#b
Here is crystalline Pr8Nd2Tm3 at its relaxed geometry from the Alexandria database. Energies are from PBE.

Values from the calculation:
V ... 462.8 Å³/f.u.
Crystal system ... monoclinic
Spin magnetization ... 0.0 Bohr magnetons per cell
DOS(E_F) ... 18.254 states/eV/cell

a b c (Å): 7.760 5.735 11.099
angles (deg): 90.00 110.44 90.00
Space group P2/m (No. 10)
Unique sites:
Pr: 0.100 0.000 0.294 (multiplicity 2)
Pr: 0.172 0.500 0.843 (multiplicity 2)
Pr: 0.306 0.000 0.706 (multiplicity 2)
Pr: 0.372 0.500 0.243 (multiplicity 2)
Nd: 0.261 0.000 0.022 (multiplicity 2)
Tm: 0.215 0.500 0.500 (multiplicity 2)
Tm: 0.500 0.000 0.500 (multiplicity 1)

---

The most stable arrangement is #a, and the next structure is 38 meV/atom less stable.

---

#a
Here is crystalline Pr3Nd2Tm at its relaxed geometry from the Alexandria database. Energies are from PBE.

Values from the calculation:
V ... 212.6 Å³/f.u.
Crystal system ... monoclinic
Spin magnetization ... 0.0 Bohr magnetons per cell
DOS(E_F) ... 40.123 states/eV/cell

a b c (Å): 13.528 3.593 17.900
angles (deg): 90.00 102.27 90.00
Space group C2/m (No. 12)
Unique sites:
Pr: 0.062 0.000 0.169 (multiplicity 4)
Pr: 0.126 0.500 0.992 (multiplicity 4)
Pr: 0.231 0.500 0.336 (multiplicity 4)
Nd: 0.130 0.500 0.499 (multiplicity 4)
Nd: 0.199 0.000 0.835 (multiplicity 4)
Tm: 0.043 0.500 0.680 (multiplicity 4)

---

#b
Here is crystalline Pr3Nd2Tm at its relaxed geometry from the Alexandria database. Energies are from PBE.

Values from the calculation:
V ... 213.2 Å³/f.u.
Crystal system ... orthorhombic
Spin magnetization ... 0.0 Bohr magnetons per cell
DOS(E_F) ... 20.696 states/eV/cell

a b c (Å): 6.836 18.070 3.452
angles (deg): 90.00 90.00 90.00
Space group Pnnm (No. 58)
Unique sites:
Pr: 0.000 0.000 0.000 (multiplicity 2)
Pr: 0.241 0.320 0.000 (multiplicity 4)
Nd: 0.235 0.149 0.500 (multiplicity 4)
Tm: 0.000 0.500 0.000 (multiplicity 2)

---

The most stable arrangement is #a, and the next structure is 133 meV/atom less stable.

---

#a
Here is crystalline PrNd6Tm4 at its relaxed geometry from the Alexandria database. Energies are from PBE.

Values from the calculation:
V ... 382.3 Å³/f.u.
Crystal system ... hexagonal
Spin magnetization ... 0.0 Bohr magnetons per cell
DOS(E_F) ... 15.181 states/eV/cell

a b c (Å): 11.0987 11.0987 3.5836
angles (deg): 90.00 90.00 120.00
Space group P-6m2 (No. 187)
Unique sites:
Pr: 0.0000 0.0000 0.0000 (multiplicity 1)
Nd: 0.1830 0.3660 0.5000 (multiplicity 3)
Nd: 0.5227 0.0453 0.0000 (multiplicity 3)
Tm: 0.3244 0.1622 0.5000 (multiplicity 3)
Tm: 0.3333 0.6667 0.0000 (multiplicity 1)

---

#b
Here is crystalline PrNd6Tm4 at its relaxed geometry from the Alexandria database. Energies are from PBE.

Values from the calculation:
V ... 370.7 Å³/f.u.
Crystal system ... orthorhombic
Spin magnetization ... 0.0 Bohr magnetons per cell
DOS(E_F) ... 74.292 states/eV/cell

a b c (Å): 5.855 9.735 26.014
angles (deg): 90.00 90.00 90.00
Space group Cmcm (No. 63)
Unique sites:
Pr: 0.000 0.205 0.250 (multiplicity 4)
Nd: 0.000 0.129 0.680 (multiplicity 8)
Nd: 0.000 0.195 0.098 (multiplicity 8)
Nd: 0.000 0.456 0.750 (multiplicity 4)
Nd: 0.000 0.500 0.000 (multiplicity 4)
Tm: 0.000 0.153 0.544 (multiplicity 8)
Tm: 0.000 0.463 0.624 (multiplicity 8)

---

The most stable arrangement is #b, and the next structure is 45 meV/atom less stable.

---

#a
Here is crystalline Pr7NdTm3 at its relaxed geometry from the Alexandria database. Energies are from PBE.

Values from the calculation:
V ... 392.7 Å³/f.u.
Crystal system ... monoclinic
Spin magnetization ... 0.0 Bohr magnetons per cell
DOS(E_F) ... 30.474 states/eV/cell

a b c (Å): 11.860 10.294 6.473
angles (deg): 90.00 96.29 90.00
Space group C2/m (No. 12)
Unique sites:
Pr: 0.000 0.000 0.000 (multiplicity 2)
Pr: 0.234 0.500 0.215 (multiplicity 4)
Pr: 0.246 0.324 0.740 (multiplicity 8)
Nd: 0.000 0.000 0.500 (multiplicity 2)
Tm: 0.000 0.333 0.000 (multiplicity 4)
Tm: 0.000 0.500 0.500 (multiplicity 2)

---

#b
Here is crystalline Pr7NdTm3 at its relaxed geometry from the Alexandria database. Energies are from PBE.

Values from the calculation:
V ... 397.6 Å³/f.u.
Crystal system ... trigonal
Spin magnetization ... 0.0 Bohr magnetons per cell
DOS(E_F) ... 17.227 states/eV/cell

a b c (Å): 7.2672 7.2672 8.6930
angles (deg): 90.00 90.00 120.00
Space group P3m1 (No. 156)
Unique sites:
Pr: 0.0000 0.0000 0.0000 (multiplicity 1)
Pr: 0.0003 0.5002 0.0225 (multiplicity 3)
Pr: 0.1670 0.3340 0.6637 (multiplicity 3)
Nd: 0.6667 0.3333 0.6857 (multiplicity 1)
Tm: 0.3337 0.1669 0.3436 (multiplicity 3)

---

The most stable arrangement is #b, and the next structure is 38 meV/atom less stable.

---

#a
Here is crystalline PrNd6Tm3 at its relaxed geometry from the Alexandria database. Energies are from PBE.

Values from the calculation:
V ... 338.7 Å³/f.u.
Crystal system ... orthorhombic
Spin magnetization ... 0.0 Bohr magnetons per cell
DOS(E_F) ... 57.885 states/eV/cell

a b c (Å): 11.010 19.318 6.370
angles (deg): 90.00 90.00 90.00
Space group Cmc2_1 (No. 36)
Unique sites:
Pr: 0.000 0.193 0.000 (multiplicity 4)
Nd: 0.000 0.035 0.764 (multiplicity 4)
Nd: 0.000 0.283 0.544 (multiplicity 4)
Nd: 0.169 0.460 0.442 (multiplicity 8)
Nd: 0.233 0.291 0.263 (multiplicity 8)
Tm: 0.000 0.384 0.985 (multiplicity 4)
Tm: 0.174 0.115 0.357 (multiplicity 8)

---

#b
Here is crystalline PrNd6Tm3 at its relaxed geometry from the Alexandria database. Energies are from PBE.

Values from the calculation:
V ... 341.6 Å³/f.u.
Crystal system ... orthorhombic
Spin magnetization ... 0.0 Bohr magnetons per cell
DOS(E_F) ... 57.231 states/eV/cell

a b c (Å): 9.815 21.446 6.492
angles (deg): 90.00 90.00 90.00
Space group Cmc2_1 (No. 36)
Unique sites:
Pr: 0.000 0.155 0.000 (multiplicity 4)
Nd: 0.000 0.014 0.228 (multiplicity 4)
Nd: 0.000 0.300 0.203 (multiplicity 4)
Nd: 0.174 0.282 0.677 (multiplicity 8)
Nd: 0.179 0.441 0.427 (multiplicity 8)
Tm: 0.000 0.418 0.907 (multiplicity 4)
Tm: 0.169 0.127 0.521 (multiplicity 8)

---

The most stable arrangement is #b, and the next structure is 17 meV/atom less stable.